1.
Here is a relaxed Li2ZnAg8 crystal from Alexandria via LeMat-Bulk. Energies are from PBE-GGA.

```
Li2ZnAg8
1.0
4.1211 0.0000 0.0000
0.0000 6.3976 0.3481
-2.0605 -2.2858 6.9826
Li Ag Zn
2 8 1
direct
0.7767 0.3555 0.5534
0.2233 0.6445 0.4466
0.8594 0.8104 0.7188
0.4056 0.5472 0.8112
0.9555 0.2682 0.9109
0.1406 0.1896 0.2812
0.5944 0.4528 0.1888
0.6807 0.9115 0.3614
0.0445 0.7318 0.0891
0.3193 0.0885 0.6386
0.5000 0.0000 0.0000
```

Results
Uncorrected energy ... -28.835 eV per cell
Mass density ... 8.35 Mg/m³
Volume ... 17.03 Å³ per atom
Magnetic moment ... 0.000 μB/atom
D(E_F) ... 3.355 states/eV/f.u.

2.
Here is a relaxed Li6ZnAg3 crystal from Alexandria via LeMat-Bulk. Energies are from PBE-GGA.

```
Li6ZnAg3
1.0
2.8463 0.0000 0.0000
0.0000 10.3332 0.6257
0.0000 -2.8360 11.1921
Li Ag Zn
12 6 2
direct
0.2500 0.1767 0.9163
0.7500 0.8233 0.0837
0.7500 0.1220 0.4837
0.7500 0.3532 0.1071
0.2500 0.2226 0.2828
0.7500 0.7774 0.7172
0.2500 0.6468 0.8929
0.7500 0.7436 0.2990
0.7500 0.4975 0.6814
0.2500 0.8780 0.5163
0.2500 0.2564 0.7010
0.2500 0.5025 0.3186
0.2500 0.3659 0.4960
0.2500 0.5852 0.1080
0.7500 0.0834 0.1022
0.7500 0.4148 0.8920
0.2500 0.9166 0.8978
0.7500 0.6341 0.5040
0.7500 0.0329 0.7144
0.2500 0.9671 0.2856
```

Results
Uncorrected energy ... -45.125 eV per cell
Mass density ... 4.28 Mg/m³
Volume ... 16.71 Å³ per atom
Magnetic moment ... 0.000 μB/atom
D(E_F) ... 4.190 states/eV/f.u.

3.
Here is a relaxed Li6Zn2Ag crystal from Alexandria via LeMat-Bulk. Energies are from PBE-GGA.

```
Li6Zn2Ag
1.0
-2.4109 3.1828 -3.4147
-3.5567 0.4039 3.8481
3.3763 3.5560 1.8912
Li Zn Ag
6 2 1
direct
0.1659 0.5001 0.8338
0.8341 0.1662 0.4999
0.5000 0.8339 0.1661
0.5000 0.1661 0.8339
0.8341 0.4999 0.1662
0.1659 0.8338 0.5001
0.3384 0.3384 0.3384
0.6616 0.6616 0.6616
0.0000 0.0000 0.0000
```

Results
Uncorrected energy ... -18.145 eV per cell
Mass density ... 3.28 Mg/m³
Volume ... 15.75 Å³ per atom
Magnetic moment ... 0.000 μB/atom
D(E_F) ... 3.864 states/eV/f.u.

4.
Here is a relaxed Li3Zn2Ag crystal from Alexandria via LeMat-Bulk. Energies are from PBE-GGA.

```
Li3Zn2Ag
1.0
4.5545 0.0000 0.0000
0.0000 5.5911 -1.1466
0.0000 -0.2355 7.2746
Zn Ag Li
4 2 6
direct
0.2500 0.8622 0.4610
0.7500 0.4700 0.8788
0.2500 0.5300 0.1212
0.7500 0.1378 0.5390
0.2500 0.6925 0.7915
0.7500 0.3075 0.2085
0.7500 0.9777 0.8700
0.7500 0.8009 0.2199
0.7500 0.6397 0.5553
0.2500 0.1991 0.7801
0.2500 0.3603 0.4447
0.2500 0.0223 0.1300
```

Results
Uncorrected energy ... -24.614 eV per cell
Mass density ... 4.68 Mg/m³
Volume ... 15.33 Å³ per atom
Magnetic moment ... 0.000 μB/atom
D(E_F) ... 1.736 states/eV/f.u.

5.
Here is a relaxed LiZn5Ag4 crystal from Alexandria via LeMat-Bulk. Energies are from PBE-GGA.

```
LiZn5Ag4
1.0
5.2597 0.0000 0.0000
2.6299 5.6595 0.0000
2.6299 0.0000 5.6595
Ag Zn Li
4 5 1
direct
0.1284 0.2649 0.3805
0.5089 0.6195 0.2649
0.7738 0.7351 0.6195
0.3933 0.3805 0.7351
0.8367 0.3520 0.8770
0.1888 0.8770 0.6480
0.7137 0.1230 0.3520
0.0657 0.6480 0.1230
0.6760 0.0000 0.0000
0.2250 0.0000 0.0000
```

Results
Uncorrected energy ... -18.975 eV per cell
Mass density ... 7.54 Mg/m³
Volume ... 16.85 Å³ per atom
Magnetic moment ... 0.000 μB/atom
D(E_F) ... 3.252 states/eV/f.u.

6.
Here is a relaxed Li4Zn4Ag3 crystal from Alexandria via LeMat-Bulk. Energies are from PBE-GGA.

```
Li4Zn4Ag3
1.0
2.8607 -0.3653 0.3222
-0.7034 4.6323 -1.1301
-0.4296 -2.2011 13.6479
Li Zn Ag
4 4 3
direct
0.9120 0.1926 0.3640
0.2729 0.4427 0.9010
0.0880 0.8074 0.6360
0.7271 0.5573 0.0990
0.3625 0.2650 0.5397
0.6374 0.7350 0.4603
0.5452 0.9053 0.8184
0.4547 0.0948 0.1816
0.8158 0.3520 0.7219
0.0000 0.0000 0.0000
0.1842 0.6481 0.2780
```

Results
Uncorrected energy ... -23.264 eV per cell
Mass density ... 5.95 Mg/m³
Volume ... 15.56 Å³ per atom
Magnetic moment ... 0.000 μB/atom
D(E_F) ... 3.193 states/eV/f.u.

no.,offset from the most stable computed form (meV/atom)
1,0
2,52
3,0
4,0
5,144
6,0